Entry 1:
Material: Zr2ScTi
Method: DFT, PBE-GGA
State: optimized geometry

## Properties
Distance to the lowest polymorph of the same formula = 0.000 eV per atom
Raw total energy = -7.7733 eV/atom
Total moment = 0.000 μB/atom

Cell and atoms, written as CIF:
```
data_Zr2ScTi
_chemical_formula_sum 'Zr4 Sc2 Ti2'
_cell_length_a 4.8892
_cell_length_b 11.6990
_cell_length_c 3.0675
_cell_angle_alpha 90.00
_cell_angle_beta 90.00
_cell_angle_gamma 90.00
_space_group_name_H-M_alt 'P m n 21'
_space_group_IT_number 31
_space_group_name_Hall 'P 2ac -2'
loop_
_atom_site_label
_atom_site_type_symbol
_atom_site_fract_x
_atom_site_fract_y
_atom_site_fract_z
Zr1 Zr 0.0000 0.1729 0.0000
Zr2 Zr 0.0000 0.7084 0.0007
Sc1 Sc 0.0000 0.4334 0.0020
Ti1 Ti 0.0000 0.9517 0.4995
```

Entry 2:
Material: Zr2ScTi
Method: DFT, PBE-GGA
State: optimized geometry

## Properties
Distance to the lowest polymorph of the same formula = 0.016 eV per atom
Raw total energy = -7.7573 eV/atom
Total moment = 0.000 μB/atom

Cell and atoms, written as CIF:
```
data_Zr2ScTi
_chemical_formula_sum 'Zr2 Sc1 Ti1'
_cell_length_a 4.4492
_cell_length_b 4.4492
_cell_length_c 4.3941
_cell_angle_alpha 90.00
_cell_angle_beta 90.00
_cell_angle_gamma 90.00
_space_group_name_H-M_alt 'P 4/m m m'
_space_group_IT_number 123
_space_group_name_Hall '-P 4 2'
loop_
_atom_site_label
_atom_site_type_symbol
_atom_site_fract_x
_atom_site_fract_y
_atom_site_fract_z
Zr1 Zr 0.0000 0.5000 0.0000
Sc1 Sc 0.0000 0.0000 0.5000
Ti1 Ti 0.5000 0.5000 0.5000
```

Values for ΔH_f (0 K), eV per atom, ordered as above
0.06; 0.07
Values for DOS at the Fermi energy, states/eV/atom, ordered as above
1.43; 1.50